# Tm2ScTe4 (PBE, optimized geometry)
data_Tm2ScTe4
_chemical_formula_sum 'Tm4 Sc2 Te8'
_symmetry_space_group_name_H-M 'P 1'
_symmetry_Int_Tables_number 1
_cell_length_a 7.3615
_cell_length_b 7.3615
_cell_length_c 14.6737
_cell_angle_alpha 90.00
_cell_angle_beta 90.00
_cell_angle_gamma 147.45
loop_
_symmetry_equiv_pos_as_xyz
'x,y,z'
loop_
_atom_site_label
_atom_site_type_symbol
_atom_site_fract_x
_atom_site_fract_y
_atom_site_fract_z
_atom_site_occupancy
Tm1 Tm 0.1316 0.8684 0.5735 1
Tm2 Tm 0.1316 0.8684 0.9265 1
Tm3 Tm 0.8684 0.1316 0.0735 1
Tm4 Tm 0.8684 0.1316 0.4265 1
Sc1 Sc 0.3669 0.6331 0.7500 1
Sc2 Sc 0.6331 0.3669 0.2500 1
Te1 Te 0.0210 0.9790 0.7500 1
Te2 Te 0.2190 0.7810 0.1228 1
Te3 Te 0.2190 0.7810 0.3772 1
Te4 Te 0.5000 0.5000 0.0000 1
Te5 Te 0.5000 0.5000 0.5000 1
Te6 Te 0.7810 0.2190 0.6228 1
Te7 Te 0.7810 0.2190 0.8772 1
Te8 Te 0.9790 0.0210 0.2500 1
# * volume: 30.6 Å³ per atom
# * offset from the most stable computed form: 97.3 meV/atom
# * N(E_F): 3.434 states/eV/f.u.
# * energy relative to the elements, uncorrected: -1.211 eV per atom

# SrZn3NiPd (PBE, optimized geometry)
data_SrZn3NiPd
_chemical_formula_sum 'Sr2 Zn6 Ni2 Pd2'
_symmetry_space_group_name_H-M 'P 1'
_symmetry_Int_Tables_number 1
_cell_length_a 7.0840
_cell_length_b 7.0840
_cell_length_c 5.6384
_cell_angle_alpha 90.00
_cell_angle_beta 90.00
_cell_angle_gamma 125.37
loop_
_symmetry_equiv_pos_as_xyz
'x,y,z'
loop_
_atom_site_label
_atom_site_type_symbol
_atom_site_fract_x
_atom_site_fract_y
_atom_site_fract_z
_atom_site_occupancy
Sr1 Sr 0.2316 0.7684 0.7500 1
Sr2 Sr 0.7684 0.2316 0.2500 1
Zn1 Zn 0.2061 0.2061 0.0000 1
Zn2 Zn 0.2061 0.2061 0.5000 1
Zn3 Zn 0.3487 0.6513 0.2500 1
Zn4 Zn 0.6513 0.3487 0.7500 1
Zn5 Zn 0.7939 0.7939 0.0000 1
Zn6 Zn 0.7939 0.7939 0.5000 1
Ni1 Ni 0.4631 0.5369 0.7500 1
Ni2 Ni 0.5369 0.4631 0.2500 1
Pd1 Pd 0.1408 0.8592 0.2500 1
Pd2 Pd 0.8592 0.1408 0.7500 1
# * volume: 19.2 Å³ per atom
# * N(E_F): 3.220 states/eV/f.u.
# * energy of formation: -0.252 eV per atom

# MnAgRh2 (PBE, optimized geometry)
data_MnAgRh2
_chemical_formula_sum 'Mn1 Ag1 Rh2'
_symmetry_space_group_name_H-M 'P 1'
_symmetry_Int_Tables_number 1
_cell_length_a 2.8103
_cell_length_b 3.8357
_cell_length_c 5.5981
_cell_angle_alpha 90.00
_cell_angle_beta 90.00
_cell_angle_gamma 90.00
loop_
_symmetry_equiv_pos_as_xyz
'x,y,z'
loop_
_atom_site_label
_atom_site_type_symbol
_atom_site_fract_x
_atom_site_fract_y
_atom_site_fract_z
_atom_site_occupancy
Mn1 Mn 0.0000 0.0000 0.0000 1
Ag1 Ag 0.5000 0.5000 0.2674 1
Rh1 Rh 0.0000 0.0000 0.5401 1
Rh2 Rh 0.5000 0.5000 0.7695 1
# * volume: 15.1 Å³ per atom
# * offset from the most stable computed form: 74.3 meV/atom
# * N(E_F): 4.750 states/eV/f.u.
# * energy of formation: 0.118 eV per atom

# NaHf2TlF (PBE, optimized geometry)
data_NaHf2TlF
_chemical_formula_sum 'Na1 Hf2 Tl1 F1'
_symmetry_space_group_name_H-M 'P 1'
_symmetry_Int_Tables_number 1
_cell_length_a 5.4043
_cell_length_b 5.4043
_cell_length_c 5.7985
_cell_angle_alpha 90.00
_cell_angle_beta 90.00
_cell_angle_gamma 90.00
loop_
_symmetry_equiv_pos_as_xyz
'x,y,z'
loop_
_atom_site_label
_atom_site_type_symbol
_atom_site_fract_x
_atom_site_fract_y
_atom_site_fract_z
_atom_site_occupancy
Na1 Na 0.0000 0.0000 0.0000 1
Hf1 Hf 0.0000 0.5000 0.5000 1
Hf2 Hf 0.5000 0.0000 0.5000 1
Tl1 Tl 0.0000 0.0000 0.5000 1
F1 F 0.5000 0.5000 0.0000 1
# * volume: 33.9 Å³ per atom
# * N(E_F): 5.726 states/eV/f.u.
# * energy relative to the elements, uncorrected: 0.886 eV per atom

# Sr2Ca8Sm (PBE, optimized geometry)
data_Sr2Ca8Sm
_chemical_formula_sum 'Sr2 Ca8 Sm1'
_symmetry_space_group_name_H-M 'P 1'
_symmetry_Int_Tables_number 1
_cell_length_a 6.0038
_cell_length_b 6.0038
_cell_length_c 13.8466
_cell_angle_alpha 90.00
_cell_angle_beta 90.00
_cell_angle_gamma 90.00
loop_
_symmetry_equiv_pos_as_xyz
'x,y,z'
loop_
_atom_site_label
_atom_site_type_symbol
_atom_site_fract_x
_atom_site_fract_y
_atom_site_fract_z
_atom_site_occupancy
Sr1 Sr 0.0000 0.0000 0.1858 1
Sr2 Sr 0.0000 0.0000 0.8142 1
Ca1 Ca 0.0000 0.5000 0.0000 1
Ca2 Ca 0.0000 0.5000 0.3602 1
Ca3 Ca 0.0000 0.5000 0.6398 1
Ca4 Ca 0.5000 0.0000 0.0000 1
Ca5 Ca 0.5000 0.0000 0.3602 1
Ca6 Ca 0.5000 0.0000 0.6398 1
Ca7 Ca 0.5000 0.5000 0.1726 1
Ca8 Ca 0.5000 0.5000 0.8274 1
Sm1 Sm 0.0000 0.0000 0.5000 1
# * volume: 45.4 Å³ per atom
# * N(E_F): 12.444 states/eV/f.u.
# * energy of formation: 0.168 eV per atom

# Ir2PtCI (PBE, optimized geometry)
data_Ir2PtCI
_chemical_formula_sum 'Ir2 Pt1 C1 I1'
_symmetry_space_group_name_H-M 'P 1'
_symmetry_Int_Tables_number 1
_cell_length_a 4.8787
_cell_length_b 4.8787
_cell_length_c 4.9385
_cell_angle_alpha 90.00
_cell_angle_beta 90.00
_cell_angle_gamma 90.00
loop_
_symmetry_equiv_pos_as_xyz
'x,y,z'
loop_
_atom_site_label
_atom_site_type_symbol
_atom_site_fract_x
_atom_site_fract_y
_atom_site_fract_z
_atom_site_occupancy
Ir1 Ir 0.0000 0.5000 0.0000 1
Ir2 Ir 0.5000 0.0000 0.0000 1
Pt1 Pt 0.0000 0.0000 0.5000 1
C1 C 0.5000 0.5000 0.5000 1
I1 I 0.0000 0.0000 0.0000 1
# * volume: 23.5 Å³ per atom
# * N(E_F): 6.062 states/eV/f.u.
# * energy relative to the elements, uncorrected: 3.125 eV per atom

# NaErCu2F8 (PBE, optimized geometry)
data_NaErCu2F8
_chemical_formula_sum 'Na1 Er1 Cu2 F8'
_symmetry_space_group_name_H-M 'P 1'
_symmetry_Int_Tables_number 1
_cell_length_a 6.4188
_cell_length_b 6.4188
_cell_length_c 6.4188
_cell_angle_alpha 129.86
_cell_angle_beta 129.86
_cell_angle_gamma 73.64
loop_
_symmetry_equiv_pos_as_xyz
'x,y,z'
loop_
_atom_site_label
_atom_site_type_symbol
_atom_site_fract_x
_atom_site_fract_y
_atom_site_fract_z
_atom_site_occupancy
Na1 Na 0.0000 0.0000 0.0000 1
Er1 Er 0.5000 0.5000 0.0000 1
Cu1 Cu 0.2500 0.7500 0.5000 1
Cu2 Cu 0.7500 0.2500 0.5000 1
F1 F 0.0714 0.5450 0.8568 1
F2 F 0.2146 0.0714 0.5264 1
F3 F 0.3118 0.4550 0.5264 1
F4 F 0.4550 0.9286 0.1432 1
F5 F 0.5450 0.6882 0.4736 1
F6 F 0.6882 0.2146 0.1432 1
F7 F 0.7854 0.3118 0.8568 1
F8 F 0.9286 0.7854 0.4736 1
# * volume: 12.7 Å³ per atom
# * offset from the most stable computed form: 0.0 meV/atom
# * energy relative to the elements, uncorrected: -2.633 eV per atom

# CuRhCS (PBE, optimized geometry)
data_CuRhCS
_chemical_formula_sum 'Cu1 Rh1 C1 S1'
_symmetry_space_group_name_H-M 'P 1'
_symmetry_Int_Tables_number 1
_cell_length_a 3.2074
_cell_length_b 3.7922
_cell_length_c 5.6505
_cell_angle_alpha 97.65
_cell_angle_beta 96.00
_cell_angle_gamma 112.60
loop_
_symmetry_equiv_pos_as_xyz
'x,y,z'
loop_
_atom_site_label
_atom_site_type_symbol
_atom_site_fract_x
_atom_site_fract_y
_atom_site_fract_z
_atom_site_occupancy
Cu1 Cu 0.0000 0.0000 0.0000 1
Rh1 Rh 0.9538 0.1348 0.4674 1
C1 C 0.3783 0.0377 0.2936 1
S1 S 0.6248 0.3430 0.8176 1
# * volume: 15.5 Å³ per atom
# * offset from the most stable computed form: 173.7 meV/atom
# * N(E_F): 0.711 states/eV/f.u.
# * energy relative to the elements, uncorrected: 0.512 eV per atom

# CoNiSb (PBE, optimized geometry)
data_CoNiSb
_chemical_formula_sum 'Co2 Ni2 Sb2'
_symmetry_space_group_name_H-M 'P 1'
_symmetry_Int_Tables_number 1
_cell_length_a 3.1968
_cell_length_b 3.4890
_cell_length_c 7.6760
_cell_angle_alpha 90.00
_cell_angle_beta 90.00
_cell_angle_gamma 90.00
loop_
_symmetry_equiv_pos_as_xyz
'x,y,z'
loop_
_atom_site_label
_atom_site_type_symbol
_atom_site_fract_x
_atom_site_fract_y
_atom_site_fract_z
_atom_site_occupancy
Co1 Co 0.0000 0.0000 0.0000 1
Co2 Co 0.5000 0.5000 0.5000 1
Ni1 Ni 0.0000 0.0000 0.6616 1
Ni2 Ni 0.5000 0.5000 0.1616 1
Sb1 Sb 0.0000 0.0000 0.3311 1
Sb2 Sb 0.5000 0.5000 0.8311 1
# * volume: 14.3 Å³ per atom
# * N(E_F): 5.193 states/eV/f.u.
# * energy relative to the elements, uncorrected: 0.110 eV per atom

# Cs3H (PBE, optimized geometry)
data_Cs3H
_chemical_formula_sum 'Cs6 H2'
_symmetry_space_group_name_H-M 'P 1'
_symmetry_Int_Tables_number 1
_cell_length_a 4.3903
_cell_length_b 14.5631
_cell_length_c 8.5612
_cell_angle_alpha 90.00
_cell_angle_beta 90.00
_cell_angle_gamma 90.00
loop_
_symmetry_equiv_pos_as_xyz
'x,y,z'
loop_
_atom_site_label
_atom_site_type_symbol
_atom_site_fract_x
_atom_site_fract_y
_atom_site_fract_z
_atom_site_occupancy
Cs1 Cs 0.0000 0.0000 0.0000 1
Cs2 Cs 0.0000 0.1475 0.5675 1
Cs3 Cs 0.0000 0.8525 0.5675 1
Cs4 Cs 0.5000 0.3525 0.0675 1
Cs5 Cs 0.5000 0.5000 0.5000 1
Cs6 Cs 0.5000 0.6475 0.0675 1
H1 H 0.0000 0.5000 0.2142 1
H2 H 0.5000 0.0000 0.7142 1
# * volume: 68.4 Å³ per atom
# * N(E_F): 2.395 states/eV/f.u.
# * total energy: -11.857 eV for the cell shown

# DyY2Tl9 (PBE, optimized geometry)
data_DyY2Tl9
_chemical_formula_sum 'Dy1 Y2 Tl9'
_symmetry_space_group_name_H-M 'P 1'
_symmetry_Int_Tables_number 1
_cell_length_a 4.7695
_cell_length_b 4.7695
_cell_length_c 14.3137
_cell_angle_alpha 90.00
_cell_angle_beta 90.00
_cell_angle_gamma 90.00
loop_
_symmetry_equiv_pos_as_xyz
'x,y,z'
loop_
_atom_site_label
_atom_site_type_symbol
_atom_site_fract_x
_atom_site_fract_y
_atom_site_fract_z
_atom_site_occupancy
Dy1 Dy 0.0000 0.0000 0.0000 1
Y1 Y 0.0000 0.0000 0.3333 1
Y2 Y 0.0000 0.0000 0.6667 1
Tl1 Tl 0.0000 0.5000 0.1662 1
Tl2 Tl 0.0000 0.5000 0.5000 1
Tl3 Tl 0.0000 0.5000 0.8338 1
Tl4 Tl 0.5000 0.0000 0.1662 1
Tl5 Tl 0.5000 0.0000 0.5000 1
Tl6 Tl 0.5000 0.0000 0.8338 1
Tl7 Tl 0.5000 0.5000 0.0000 1
Tl8 Tl 0.5000 0.5000 0.3330 1
Tl9 Tl 0.5000 0.5000 0.6670 1
# * volume: 27.1 Å³ per atom
# * N(E_F): 2.977 states/eV/f.u.
# * energy of formation: -0.245 eV per atom

# PaZnPd2 (PBE, optimized geometry)
data_PaZnPd2
_chemical_formula_sum 'Pa1 Zn1 Pd2'
_symmetry_space_group_name_H-M 'P 1'
_symmetry_Int_Tables_number 1
_cell_length_a 3.1726
_cell_length_b 3.1726
_cell_length_c 7.0140
_cell_angle_alpha 90.00
_cell_angle_beta 90.00
_cell_angle_gamma 90.00
loop_
_symmetry_equiv_pos_as_xyz
'x,y,z'
loop_
_atom_site_label
_atom_site_type_symbol
_atom_site_fract_x
_atom_site_fract_y
_atom_site_fract_z
_atom_site_occupancy
Pa1 Pa 0.0000 0.0000 0.0000 1
Zn1 Zn 0.0000 0.0000 0.5000 1
Pd1 Pd 0.5000 0.5000 0.2881 1
Pd2 Pd 0.5000 0.5000 0.7119 1
# * volume: 17.6 Å³ per atom
# * N(E_F): 2.482 states/eV/f.u.
# * energy of formation: -0.516 eV per atom